# 1
Here is a relaxed structure of Ni12Ge3As from Alexandria via LeMat-Bulk. Energies are from PBE.

The structure belongs to space group P4/mmm (No. 123); the cell edges are 3.5787, 3.5787 and 14.3155 Å and the angles 90.00°, 90.00° and 90.00°. The inequivalent atoms are Ni at (0.0000, 0.0000, 0.0000), Ni at (0.0000, 0.0000, 0.2494), Ni at (0.0000, 0.0000, 0.5000), Ni at (0.0000, 0.5000, 0.1250), Ni at (0.0000, 0.5000, 0.3750), Ge at (0.5000, 0.5000, 0.2518), Ge at (0.5000, 0.5000, 0.5000) and As at (0.5000, 0.5000, 0.0000).

As for the energy of formation from the pure elements: -4.16 eV/f.u. The value obtained for the final energy is -92.04 eV for the cell shown. The size of the total moment comes out at 0.0 μB per cell.

=====

# 2
Here is a relaxed structure of Ni2GeAs from Alexandria via LeMat-Bulk. Energies are from PBE.

The structure belongs to space group Fm-3m (No. 225); the cell edges are 6.0125, 6.0125 and 6.0125 Å and the angles 90.00°, 90.00° and 90.00°. The inequivalent atoms are Ni at (0.2500, 0.2500, 0.2500), Ge at (0.0000, 0.0000, 0.0000) and As at (0.0000, 0.0000, 0.5000).

As for the energy of formation from the pure elements: -0.05 eV/f.u. The value obtained for the final energy is -83.52 eV for the cell shown. The size of the total moment comes out at 0.0 μB per cell.

=====

# 3
Here is a relaxed structure of Ni12GeAs3 from Alexandria via LeMat-Bulk. Energies are from PBE.

The structure belongs to space group P4/mmm (No. 123); the cell edges are 3.5903, 3.5903 and 14.3443 Å and the angles 90.00°, 90.00° and 90.00°. The inequivalent atoms are Ni at (0.0000, 0.0000, 0.0000), Ni at (0.0000, 0.0000, 0.2503), Ni at (0.0000, 0.0000, 0.5000), Ni at (0.0000, 0.5000, 0.1246), Ni at (0.0000, 0.5000, 0.3748), Ge at (0.5000, 0.5000, 0.0000), As at (0.5000, 0.5000, 0.2486) and As at (0.5000, 0.5000, 0.5000).

As for the energy of formation from the pure elements: -3.03 eV/f.u. The value obtained for the final energy is -90.98 eV for the cell shown. The size of the total moment comes out at 0.0 μB per cell.

=====

# 4
Here is a relaxed structure of Ni4GeAs from Alexandria via LeMat-Bulk. Energies are from PBE.

The structure belongs to space group Pnma (No. 62); the cell edges are 6.4775, 2.9782 and 15.2472 Å and the angles 90.00°, 90.00° and 90.00°. The inequivalent atoms are Ni at (0.0453, 0.2500, 0.2053), Ni at (0.0469, 0.2500, 0.9326), Ni at (0.1114, 0.2500, 0.4385), Ni at (0.1251, 0.2500, 0.6682), Ge at (0.2332, 0.7500, 0.3109) and As at (0.2459, 0.2500, 0.0604).

As for the energy of formation from the pure elements: -1.59 eV/f.u. The calculation puts the energy above the most stable polymorph in this dataset at 0 kJ/mol of formula units. The value obtained for the final energy is -135.91 eV for the cell shown. The size of the total moment comes out at 0.0 μB per cell.

=====

# 5
Here is a relaxed structure of Ni5Ge2As2 from Alexandria via LeMat-Bulk. Energies are from PBE.

The structure belongs to space group C2/m (No. 12); the cell edges are 11.7388, 3.9625 and 6.9570 Å and the angles 90.00°, 124.67° and 90.00°. The inequivalent atoms are Ni at (0.0000, 0.0000, 0.0000), Ni at (0.0866, 0.5000, 0.2720), Ni at (0.0907, 0.0000, 0.7543), Ge at (0.1605, 0.0000, 0.4913) and As at (0.1544, 0.5000, 0.0062).

As for the energy of formation from the pure elements: -1.30 eV/f.u. The value obtained for the final energy is -97.47 eV for the cell shown. The size of the total moment comes out at 0.0 μB per cell.

=====

# 6
Here is a relaxed structure of NiGeAs from Alexandria via LeMat-Bulk. Energies are from PBE.

The structure belongs to space group P2_1/m (No. 11); the cell edges are 2.9680, 5.9569 and 5.8347 Å and the angles 90.00°, 104.90° and 90.00°. The inequivalent atoms are Ni at (0.0000, 0.0000, 0.0000), Ge at (0.3905, 0.2500, 0.7825) and As at (0.1708, 0.2500, 0.3281).

As for the energy of formation from the pure elements: -0.18 eV/f.u. The calculation puts the energy above the most stable polymorph in this dataset at 45 kJ/mol of formula units. The value obtained for the final energy is -30.46 eV for the cell shown. The size of the total moment comes out at 0.0 μB per cell.

=====

# 7
Here is a relaxed structure of Ni5GeAs from Alexandria via LeMat-Bulk. Energies are from PBE.

The structure belongs to space group C2/c (No. 15); the cell edges are 8.7712, 8.0437 and 6.5930 Å and the angles 90.00°, 124.10° and 90.00°. The inequivalent atoms are Ni at (0.0000, 0.1905, 0.2500), Ni at (0.1061, 0.2834, 0.9822), Ni at (0.2021, 0.3937, 0.6713), Ge at (0.0000, 0.4692, 0.2500) and As at (0.0000, 0.0000, 0.0000).

As for the energy of formation from the pure elements: 0.60 eV/f.u. The value obtained for the final energy is -150.28 eV for the cell shown. The size of the total moment comes out at 0.0 μB per cell.

=====

# 8
Here is a relaxed structure of Ni4GeAs from Alexandria via LeMat-Bulk. Energies are from PBE.

The structure belongs to space group P-1 (No. 2); the cell edges are 4.9102, 5.0093 and 7.2180 Å and the angles 102.12°, 109.79° and 90.09°. The inequivalent atoms are Ni at (0.0066, 0.4450, 0.1720), Ni at (0.1657, 0.9445, 0.1716), Ni at (0.2981, 0.8730, 0.7273), Ni at (0.4288, 0.3730, 0.7264), Ge at (0.3202, 0.2504, 0.0000), As at (0.0000, 0.5000, 0.5000) and As at (0.5000, 0.0000, 0.5000).

As for the energy of formation from the pure elements: -0.71 eV/f.u. The calculation puts the energy above the most stable polymorph in this dataset at 85 kJ/mol of formula units. The value obtained for the final energy is -66.20 eV for the cell shown. The size of the total moment comes out at 0.0 μB per cell.

=====

# 9
Here is a relaxed structure of Ni2GeAs from Alexandria via LeMat-Bulk. Energies are from PBE.

The structure belongs to space group R3m (No. 160, hexagonal axes); the cell edges are 3.6651, 3.6651 and 15.2083 Å and the angles 90.00°, 90.00° and 120.00°. The inequivalent atoms are Ni at (0.0000, 0.0000, 0.0000), Ni at (0.0000, 0.0000, 0.1705), Ge at (0.0000, 0.0000, 0.7548) and As at (0.0000, 0.0000, 0.5807).

As for the energy of formation from the pure elements: -0.36 eV/f.u. The value obtained for the final energy is -63.56 eV for the cell shown. The size of the total moment comes out at 0.0 μB per cell.

=====

# 10
Here is a relaxed structure of Ni3GeAs from Alexandria via LeMat-Bulk. Energies are from PBE.

The structure belongs to space group P2_1/m (No. 11); the cell edges are 5.8071, 3.6739 and 6.3602 Å and the angles 90.00°, 90.28° and 90.00°. The inequivalent atoms are Ni at (0.1220, 0.2500, 0.1070), Ni at (0.3535, 0.2500, 0.4645), Ni at (0.3598, 0.7500, 0.8673), Ge at (0.3793, 0.7500, 0.2386) and As at (0.0933, 0.2500, 0.7352).

As for the energy of formation from the pure elements: -1.04 eV/f.u. The calculation puts the energy above the most stable polymorph in this dataset at 25 kJ/mol of formula units. The value obtained for the final energy is -55.30 eV for the cell shown. The size of the total moment comes out at 0.0 μB per cell.

=====

# 11
Here is a relaxed structure of NiGeAs from Alexandria via LeMat-Bulk. Energies are from PBE.

The structure belongs to space group Pmn2_1 (No. 31); the cell edges are 2.9855, 5.3566 and 6.0101 Å and the angles 90.00°, 90.00° and 90.00°. The inequivalent atoms are Ni at (0.0000, 0.2411, 0.0000), Ge at (0.0000, 0.4354, 0.3615) and As at (0.0000, 0.0742, 0.6326).

As for the energy of formation from the pure elements: -0.65 eV/f.u. The calculation puts the energy above the most stable polymorph in this dataset at 0 kJ/mol of formula units. The value obtained for the final energy is -31.39 eV for the cell shown. The size of the total moment comes out at 0.0 μB per cell.

=====

# 12
Here is a relaxed structure of Ni4GeAs2 from Alexandria via LeMat-Bulk. Energies are from PBE.

The structure belongs to space group Cmcm (No. 63); the cell edges are 2.9080, 11.4828 and 11.7681 Å and the angles 90.00°, 90.00° and 90.00°. The inequivalent atoms are Ni at (0.0000, 0.0000, 0.0000), Ni at (0.0000, 0.3084, 0.0888), Ni at (0.0000, 0.4990, 0.7500), Ge at (0.0000, 0.1580, 0.7500) and As at (0.0000, 0.3662, 0.6050).

As for the energy of formation from the pure elements: -0.40 eV/f.u. The calculation puts the energy above the most stable polymorph in this dataset at 0 kJ/mol of formula units. The value obtained for the final energy is -149.77 eV for the cell shown. The size of the total moment comes out at 0.0 μB per cell.

=====

# 13
Here is a relaxed structure of Ni3GeAs from Alexandria via LeMat-Bulk. Energies are from PBE.

The structure belongs to space group Pm-3m (No. 221); the cell edges are 4.3588, 4.3588 and 4.3588 Å and the angles 90.00°, 90.00° and 90.00°. The inequivalent atoms are Ni at (0.0000, 0.0000, 0.5000), Ge at (0.5000, 0.5000, 0.5000) and As at (0.0000, 0.0000, 0.0000).

As for the energy of formation from the pure elements: 1.84 eV/f.u. The calculation puts the energy above the most stable polymorph in this dataset at 303 kJ/mol of formula units. The value obtained for the final energy is -24.77 eV for the cell shown. The size of the total moment comes out at 0.0 μB per cell.

=====

# 14
Here is a relaxed structure of NiGeAs from Alexandria via LeMat-Bulk. Energies are from PBE.

The structure belongs to space group Cm (No. 8); the cell edges are 11.6118, 3.4273 and 5.6413 Å and the angles 90.00°, 117.65° and 90.00°. The inequivalent atoms are Ni at (0.0000, 0.0000, 0.0000), Ni at (0.2238, 0.0000, 0.3715), Ge at (0.1527, 0.5000, 0.9710), Ge at (0.3254, 0.0000, 0.8601), As at (0.0687, 0.5000, 0.3656) and As at (0.3887, 0.5000, 0.5244).

As for the energy of formation from the pure elements: -0.21 eV/f.u. The calculation puts the energy above the most stable polymorph in this dataset at 42 kJ/mol of formula units. The value obtained for the final energy is -61.04 eV for the cell shown. The size of the total moment comes out at 0.0 μB per cell.

=====

# 15
Here is a relaxed structure of NiGeAs2 from Alexandria via LeMat-Bulk. Energies are from PBE.

The structure belongs to space group R-3m (No. 166, hexagonal axes); the cell edges are 3.4686, 3.4686 and 23.4119 Å and the angles 90.00°, 90.00° and 120.00°. The inequivalent atoms are Ni at (0.0000, 0.0000, 0.0000), Ge at (0.0000, 0.0000, 0.5000) and As at (0.0000, 0.0000, 0.3858).

As for the energy of formation from the pure elements: 0.44 eV/f.u. The value obtained for the final energy is -57.76 eV for the cell shown. The size of the total moment comes out at 0.0 μB per cell.

=====

# 16
Here is a relaxed structure of Ni4Ge3As9 from Alexandria via LeMat-Bulk. Energies are from PBE.

The structure belongs to space group Cm (No. 8); the cell edges are 11.7902, 8.4313 and 8.3173 Å and the angles 90.00°, 134.83° and 90.00°. The inequivalent atoms are Ni at (0.0000, 0.2475, 0.0000), Ni at (0.4974, 0.2496, 0.4940), Ge at (0.0955, 0.0000, 0.4962), Ge at (0.4056, 0.0000, 0.5050), Ge at (0.4059, 0.0000, 0.8091), As at (0.0951, 0.1559, 0.8414), As at (0.0959, 0.0000, 0.1958), As at (0.2479, 0.3471, 0.6522), As at (0.2497, 0.3485, 0.3396) and As at (0.3985, 0.1541, 0.1466).

As for the energy of formation from the pure elements: -2.80 eV/f.u. The value obtained for the final energy is -163.25 eV for the cell shown. The size of the total moment comes out at 0.0 μB per cell.

=====

# 17
Here is a relaxed structure of Ni2GeAs from Alexandria via LeMat-Bulk. Energies are from PBE.

The structure belongs to space group I-42d (No. 122); the cell edges are 5.8017, 5.8017 and 8.4825 Å and the angles 90.00°, 90.00° and 90.00°. The inequivalent atoms are Ni at (0.2423, 0.2500, 0.1250), Ge at (0.0000, 0.0000, 0.5000) and As at (0.0000, 0.0000, 0.0000).

As for the energy of formation from the pure elements: 0.54 eV/f.u. The value obtained for the final energy is -81.17 eV for the cell shown. The size of the total moment comes out at 0.0 μB per cell.

=====

# 18
Here is a relaxed structure of NiGe2As from Alexandria via LeMat-Bulk. Energies are from PBE.

The structure belongs to space group I-42d (No. 122); the cell edges are 5.5527, 5.5527 and 11.2045 Å and the angles 90.00°, 90.00° and 90.00°. The inequivalent atoms are Ni at (0.0000, 0.0000, 0.0000), Ge at (0.2118, 0.2500, 0.1250) and As at (0.0000, 0.0000, 0.5000).

As for the energy of formation from the pure elements: 0.38 eV/f.u. The value obtained for the final energy is -77.13 eV for the cell shown. The size of the total moment comes out at 0.0 μB per cell.

=====

# 19
Here is a relaxed structure of Ni3GeAs from Alexandria via LeMat-Bulk. Energies are from PBE.

The structure belongs to space group P2_1/m (No. 11); the cell edges are 3.8077, 5.0625 and 6.7594 Å and the angles 90.00°, 90.06° and 90.00°. The inequivalent atoms are Ni at (0.2492, 0.9996, 0.2281), Ni at (0.2497, 0.2500, 0.5797), Ge at (0.2507, 0.7500, 0.6221) and As at (0.2506, 0.2500, 0.9275).

As for the energy of formation from the pure elements: -1.30 eV/f.u. The calculation puts the energy above the most stable polymorph in this dataset at 0 kJ/mol of formula units. The value obtained for the final energy is -55.81 eV for the cell shown. The size of the total moment comes out at 0.0 μB per cell.

=====

# 20
Here is a relaxed structure of Ni14GeAs from Alexandria via LeMat-Bulk. Energies are from PBE.

The structure belongs to space group P4/mmm (No. 123); the cell edges are 5.0477, 5.0477 and 7.0307 Å and the angles 90.00°, 90.00° and 90.00°. The inequivalent atoms are Ni at (0.0000, 0.0000, 0.0000), Ni at (0.0000, 0.5000, 0.0000), Ni at (0.0000, 0.5000, 0.5000), Ni at (0.2499, 0.2499, 0.2467), Ni at (0.5000, 0.5000, 0.0000), Ge at (0.0000, 0.0000, 0.5000) and As at (0.5000, 0.5000, 0.5000).

As for the energy of formation from the pure elements: -1.32 eV/f.u. The value obtained for the final energy is -91.52 eV for the cell shown. The size of the total moment comes out at 5.4 μB per cell.